The following is a PBE calculation of a relaxed Ce6TcRh crystal, from Alexandria.

Total magnetization, μB/f.u.: 0.00
ΔE to the lowest computed polymorph, meV per atom: 0
Formation enthalpy at 0 K, eV/atom: -0.0581
D(E_F), states/eV per cell: 16.55

Cell and atoms, written as CIF:
```
data_Ce6TcRh
_chemical_formula_sum 'Ce6 Tc1 Rh1'
_symmetry_space_group_name_H-M 'P -1'
_symmetry_Int_Tables_number 2
_cell_length_a 5.779
_cell_length_b 6.277
_cell_length_c 6.285
_cell_angle_alpha 62.07
_cell_angle_beta 70.59
_cell_angle_gamma 87.55
loop_
_symmetry_equiv_pos_as_xyz
'x,y,z'
'-x,-y,-z'
loop_
_atom_site_label
_atom_site_fract_x
_atom_site_fract_y
_atom_site_fract_z
Ce1 0.016 0.249 0.235
Ce2 0.442 0.252 0.538
Ce3 0.453 0.756 0.030
Tc1 0.000 0.000 0.000
Rh1 0.000 0.500 0.500
```